VASP calculation (PBE-GGA) on a relaxed Pu2HfAl crystal. Values from VASP.

```
&SYSTEM
  ibrav = 0, nat = 4, ntyp = 3
/
ATOMIC_SPECIES
Hf 178.49 Hf.upf
Pu 244.00 Pu.upf
Al 26.98 Al.upf
CELL_PARAMETERS angstrom
-3.838 -2.818 0.439
2.535 -3.312 0.904
-0.229 0.958 4.152
ATOMIC_POSITIONS crystal
Hf 0.500 0.000 0.000
Pu 0.000 0.500 0.000
Pu 0.000 0.000 0.500
Al 0.500 0.500 0.500
```

Summary:
As for the total energy: -10.68 eV per atom. The energy relative to the elements comes out at -8.5 kJ per mole of atoms. The relative energy among the computed polymorphs is 0 meV per atom.